1.
# NdPaAs | Alexandria | PBE | relaxed
data_NdPaAs
_chemical_formula_sum 'Nd1 Pa1 As1'
_symmetry_space_group_name_H-M 'P 1'
_symmetry_Int_Tables_number 1
_symmetry_space_group_name_Hall 'P 1'
_cell_length_a 6.523
_cell_length_b 6.523
_cell_length_c 6.523
_cell_angle_alpha 147.48
_cell_angle_beta 147.48
_cell_angle_gamma 46.65
loop_
_atom_site_label
_atom_site_fract_x
_atom_site_fract_y
_atom_site_fract_z
Nd1 0.000 0.000 0.000
Pa1 0.277 0.277 0.000
As1 0.654 0.654 0.000
# distance to the lowest polymorph of the same formula: 1.8 kJ/mol of atoms
# spin magnetization: 0.00 μB per formula unit
# ΔH_f (0 K): -0.4204 eV/atom

2.
# YMnIN2 | Alexandria | PBE | relaxed
data_YMnIN2
_chemical_formula_sum 'Y1 Mn1 I1 N2'
_symmetry_space_group_name_H-M 'P 1'
_symmetry_Int_Tables_number 1
_symmetry_space_group_name_Hall 'P 1'
_cell_length_a 4.357
_cell_length_b 4.357
_cell_length_c 6.174
_cell_angle_alpha 90.00
_cell_angle_beta 90.00
_cell_angle_gamma 90.00
loop_
_atom_site_label
_atom_site_fract_x
_atom_site_fract_y
_atom_site_fract_z
Y1 0.000 0.000 0.000
Mn1 0.500 0.500 0.500
I1 0.000 0.000 0.500
N1 0.000 0.500 0.000
N2 0.500 0.000 0.000
# distance to the lowest polymorph of the same formula: 35.1 kJ/mol of atoms
# spin magnetization: 5.41 μB per formula unit

3.
# TlHIO2 | Alexandria | PBE | relaxed
data_TlHIO2
_chemical_formula_sum 'Tl1 H1 I1 O2'
_symmetry_space_group_name_H-M 'P 1'
_symmetry_Int_Tables_number 1
_symmetry_space_group_name_Hall 'P 1'
_cell_length_a 4.584
_cell_length_b 4.584
_cell_length_c 3.551
_cell_angle_alpha 90.00
_cell_angle_beta 90.00
_cell_angle_gamma 90.00
loop_
_atom_site_label
_atom_site_fract_x
_atom_site_fract_y
_atom_site_fract_z
Tl1 0.000 0.000 0.000
H1 0.500 0.500 0.500
I1 0.500 0.500 0.000
O1 0.000 0.500 0.500
O2 0.500 0.000 0.500
# distance to the lowest polymorph of the same formula: 4.2 kJ/mol of atoms
# spin magnetization: 0.00 μB per formula unit

4.
# HoInCuIr | Alexandria | PBE | relaxed
data_HoInCuIr
_chemical_formula_sum 'Ho1 In1 Cu1 Ir1'
_symmetry_space_group_name_H-M 'P 1'
_symmetry_Int_Tables_number 1
_symmetry_space_group_name_Hall 'P 1'
_cell_length_a 4.718
_cell_length_b 4.718
_cell_length_c 4.718
_cell_angle_alpha 60.00
_cell_angle_beta 60.00
_cell_angle_gamma 60.00
loop_
_atom_site_label
_atom_site_fract_x
_atom_site_fract_y
_atom_site_fract_z
Ho1 0.000 0.000 0.000
In1 0.500 0.500 0.500
Cu1 0.250 0.250 0.250
Ir1 0.750 0.750 0.750
# spin magnetization: 0.00 μB per formula unit
# ΔH_f (0 K): -0.3941 eV/atom

5.
# BaSn2Ru2 | Alexandria | PBE | relaxed
data_BaSn2Ru2
_chemical_formula_sum 'Ba1 Sn2 Ru2'
_symmetry_space_group_name_H-M 'P 1'
_symmetry_Int_Tables_number 1
_symmetry_space_group_name_Hall 'P 1'
_cell_length_a 6.508
_cell_length_b 6.508
_cell_length_c 6.508
_cell_angle_alpha 137.72
_cell_angle_beta 137.72
_cell_angle_gamma 61.33
loop_
_atom_site_label
_atom_site_fract_x
_atom_site_fract_y
_atom_site_fract_z
Ba1 0.000 0.000 0.000
Sn1 0.356 0.356 0.000
Sn2 0.644 0.644 0.000
Ru1 0.250 0.750 0.500
Ru2 0.750 0.250 0.500
# spin magnetization: 0.00 μB per formula unit
# ΔH_f (0 K): -0.2189 eV/atom

6.
# NaSi2B | Alexandria | PBE | relaxed
data_NaSi2B
_chemical_formula_sum 'Na2 Si4 B2'
_symmetry_space_group_name_H-M 'P 1'
_symmetry_Int_Tables_number 1
_symmetry_space_group_name_Hall 'P 1'
_cell_length_a 6.016
_cell_length_b 6.016
_cell_length_c 6.016
_cell_angle_alpha 118.36
_cell_angle_beta 118.36
_cell_angle_gamma 92.87
loop_
_atom_site_label
_atom_site_fract_x
_atom_site_fract_y
_atom_site_fract_z
Na1 0.000 0.000 0.000
Na2 0.750 0.250 0.500
Si1 0.251 0.625 0.126
Si2 0.375 0.501 0.626
Si3 0.499 0.125 0.874
Si4 0.875 0.749 0.374
B1 0.250 0.750 0.500
B2 0.500 0.500 0.000
# spin magnetization: 0.00 μB per formula unit
# total energy: -4.113 eV per atom

Record-wise D(E_F) values, in states/eV/f.u.: 5.415; 3.090; 4.539; 3.112; 1.346; 1.137